DFT (PBE-GGA) results for a relaxed FeCu2W crystal.

Values from the calculation:
Polymorph energy (0 for the lowest one) in kJ/mol of atoms: 4.7
Energy of formation from the pure elements in eV per atom: 0.254
Fermi-level density of states in states/eV per atom: 0.6636
Space group: P4mm (99)

Geometry as CIF:
```
data_FeCu2W
_chemical_formula_sum 'Fe1 Cu2 W1'
_cell_length_a 3.021
_cell_length_b 3.021
_cell_length_c 5.655
_cell_angle_alpha 90.00
_cell_angle_beta 90.00
_cell_angle_gamma 90.00
_symmetry_space_group_name_H-M 'P 1'
_symmetry_Int_Tables_number 1
loop_
_symmetry_equiv_pos_as_xyz
'x,y,z'
loop_
_atom_site_label
_atom_site_type_symbol
_atom_site_fract_x
_atom_site_fract_y
_atom_site_fract_z
Fe1 Fe 0.000 0.000 0.000
Cu1 Cu 0.000 0.000 0.523
Cu2 Cu 0.500 0.500 0.745
W1 W 0.500 0.500 0.234
```